Entry one
KSb3Br | Alexandria | PBE | relaxed; D(E_F) = 1.38 states/eV/atom; total magnetization = 1.19 Bohr magnetons per cell
1.0
6.006 0.000 0.000
0.000 6.006 0.000
0.000 0.000 6.006
K Sb Br
1 3 1
Cartesian
0.000 0.000 0.000
0.000 0.000 3.003
0.000 3.003 0.000
3.003 0.000 0.000
3.003 3.003 3.003

***

Entry two
KSb3Br | Alexandria | PBE | relaxed; D(E_F) = 1.34 states/eV/atom; total magnetization = 0.00 Bohr magnetons per cell
1.0
5.702 0.000 0.000
0.000 5.702 0.000
0.000 0.000 5.702
K Sb Br
1 3 1
Cartesian
0.000 0.000 0.000
0.000 2.851 2.851
2.851 0.000 2.851
2.851 2.851 0.000
2.851 2.851 2.851

***

The data favor entry two; the next most stable structure lies 70.1 kJ/mol of atoms above it.

***

Entry one
K2SbBr5 | Alexandria | PBE | relaxed; D(E_F) = 0.00 states/eV/atom; total magnetization = 0.00 Bohr magnetons per cell
1.0
6.340 0.000 0.000
3.165 7.313 0.000
3.145 2.010 7.820
K Sb Br
2 1 5
Cartesian
0.000 0.000 0.000
6.338 6.036 3.850
3.082 3.017 1.926
3.217 1.966 4.511
6.339 6.080 7.159
3.162 0.398 0.865
6.793 3.011 1.935
9.499 5.636 2.985

***

Entry two
K2SbBr5 | Alexandria | PBE | relaxed; D(E_F) = 0.00 states/eV/atom; total magnetization = 0.00 Bohr magnetons per cell
1.0
-4.062 4.062 4.676
4.062 -4.062 4.676
4.062 4.062 -4.676
K Sb Br
2 1 5
Cartesian
4.062 0.000 0.000
0.000 4.062 0.000
0.000 0.000 2.373
2.077 2.077 -2.366
1.985 -1.985 2.310
-1.985 1.985 2.310
1.985 1.985 2.310
0.000 0.000 9.188

***

The data favor entry one; the next most stable structure lies 1.6 kJ/mol of atoms above it.

***

Entry one
KSbBr6 | Alexandria | PBE | relaxed; total magnetization = 0.00 Bohr magnetons per cell
1.0
5.882 -4.542 0.000
5.882 4.542 0.000
-0.261 0.000 11.680
K Sb Br
2 2 12
Cartesian
5.687 4.480 8.760
5.817 -4.480 2.920
2.811 2.271 5.840
2.941 -2.271 0.000
3.927 1.762 3.543
2.079 0.201 0.082
1.948 -0.201 5.921
4.989 1.547 7.060
6.385 1.547 10.460
7.707 1.762 2.297
3.797 -1.762 9.383
5.120 -1.547 1.220
6.515 -1.547 4.620
9.556 0.201 5.758
9.426 -0.201 11.598
7.577 -1.762 8.137

***

Entry two
KSbBr6 | Alexandria | PBE | relaxed; total magnetization = 0.00 Bohr magnetons per cell
1.0
7.234 0.000 0.000
3.614 6.332 0.000
3.529 2.104 6.726
K Sb Br
1 1 6
Cartesian
0.000 0.000 0.000
7.189 4.218 3.363
5.757 5.799 4.863
5.091 3.757 1.888
7.826 6.251 1.860
6.552 2.184 4.865
9.287 4.678 4.838
8.621 2.637 1.863

***

The data favor entry one; the next most stable structure lies 2.8 kJ/mol of atoms above it.

***

Entry one
KSc2Br | Alexandria | PBE | relaxed; D(E_F) = 1.56 states/eV/atom; total magnetization = 0.50 Bohr magnetons per cell
1.0
3.478 0.000 0.000
0.000 3.478 0.000
0.000 0.000 9.708
K Sc Br
1 2 1
Cartesian
0.000 0.000 0.000
0.000 0.000 5.376
1.739 1.739 3.326
1.739 1.739 7.290

***

Entry two
KSc2Br | Alexandria | PBE | relaxed; D(E_F) = 0.58 states/eV/atom; total magnetization = 2.00 Bohr magnetons per cell
1.0
1.733 1.000 11.374
-1.733 1.000 11.374
0.000 -2.001 11.374
K Sc Br
1 2 1
Cartesian
0.000 0.000 0.000
0.000 0.000 3.525
0.000 0.000 30.596
0.000 0.000 17.061

***

Entry three
KSc2Br | Alexandria | PBE | relaxed; D(E_F) = 1.01 states/eV/atom; total magnetization = 1.91 Bohr magnetons per cell
1.0
4.369 0.000 0.000
0.000 4.369 0.000
0.000 0.000 7.143
K Sc Br
1 2 1
Cartesian
0.000 0.000 0.000
0.000 2.185 3.571
2.185 0.000 3.571
2.185 2.185 0.000

***

Entry four
KSc2Br | Alexandria | PBE | relaxed; D(E_F) = 1.17 states/eV/atom; total magnetization = 0.00 Bohr magnetons per cell
1.0
2.042 -2.783 0.000
2.042 2.783 0.000
0.000 0.000 10.219
K Sc Br
1 2 1
Cartesian
0.000 0.000 0.000
0.000 0.000 4.578
2.042 0.000 6.832
2.042 0.000 2.532

***

The data favor entry one; the next most stable structure lies 0.5 kJ/mol of atoms above it.